! ScAg2Sn2 | Alexandria via LeMat-Bulk | PBE | relaxed; values from VASP
! * SG: P4/mbm, No. 127
! * crystal system: tetragonal
! * E_form: -52.8 meV per atom
&SYSTEM
  ibrav = 0, nat = 10, ntyp = 3
/
ATOMIC_SPECIES
Sc 44.96 Sc.upf
Sn 118.71 Sn.upf
Ag 107.87 Ag.upf
CELL_PARAMETERS angstrom
-2.896 -5.484 -5.257
1.948 -5.974 5.159
-3.076 0.242 1.442
ATOMIC_POSITIONS crystal
Sc 0.500 0.500 0.000
Sn 0.340 0.840 0.000
Sn 0.660 0.160 0.000
Ag 0.862 0.362 0.500
Ag 0.138 0.638 0.500
Ag 0.362 0.138 0.500
Sn 0.160 0.340 0.000
Sc 0.000 0.000 0.000
Sn 0.840 0.660 0.000
Ag 0.638 0.862 0.500

=====

! ScAgSn | Alexandria via LeMat-Bulk | PBE | relaxed; values from VASP
! * SG: P2_1/m, No. 11
! * crystal system: monoclinic
! * E_form: -451.1 meV per atom
&SYSTEM
  ibrav = 0, nat = 18, ntyp = 3
/
ATOMIC_SPECIES
Ag 107.87 Ag.upf
Sn 118.71 Sn.upf
Sc 44.96 Sc.upf
CELL_PARAMETERS angstrom
4.364 0.000 0.000
0.000 7.183 0.002
0.000 -0.018 12.423
ATOMIC_POSITIONS crystal
Ag 0.250 0.367 0.207
Sn 0.750 0.738 0.579
Sc 0.250 0.967 0.704
Sn 0.250 0.747 0.250
Ag 0.250 0.007 0.087
Sc 0.750 0.676 0.084
Ag 0.750 0.633 0.793
Sn 0.250 0.735 0.918
Sc 0.250 0.471 0.632
Ag 0.250 0.867 0.461
Sc 0.750 0.033 0.296
Sc 0.250 0.324 0.916
Ag 0.750 0.993 0.913
Sn 0.750 0.253 0.750
Sc 0.750 0.529 0.368
Sn 0.250 0.262 0.421
Sn 0.750 0.265 0.082
Ag 0.750 0.133 0.539

=====

! ScAgSn3 | Alexandria via LeMat-Bulk | PBE | relaxed; values from VASP
! * SG: Pm-3m, No. 221
! * crystal system: cubic
! * E_form: 428.3 meV per atom
&SYSTEM
  ibrav = 0, nat = 5, ntyp = 3
/
ATOMIC_SPECIES
Ag 107.87 Ag.upf
Sn 118.71 Sn.upf
Sc 44.96 Sc.upf
CELL_PARAMETERS angstrom
5.306 0.000 0.000
0.000 5.306 0.000
0.000 0.000 5.306
ATOMIC_POSITIONS crystal
Ag 0.000 0.000 0.000
Sn 0.000 0.500 0.000
Sc 0.500 0.500 0.500
Sn 0.500 0.000 0.000
Sn 0.000 0.000 0.500

=====

! Sc2AgSn3 | Alexandria via LeMat-Bulk | PBE | relaxed; values from VASP
! * SG: C2/c, No. 15
! * crystal system: monoclinic
! * E_form: -385.4 meV per atom
&SYSTEM
  ibrav = 0, nat = 12, ntyp = 3
/
ATOMIC_SPECIES
Sc 44.96 Sc.upf
Sn 118.71 Sn.upf
Ag 107.87 Ag.upf
CELL_PARAMETERS angstrom
-1.289 -0.284 -5.912
4.528 -3.690 -0.810
-4.943 -4.943 4.419
ATOMIC_POSITIONS crystal
Sc 0.200 0.415 0.668
Sn 0.970 0.925 0.672
Sc 0.469 0.915 0.668
Sc 0.531 0.085 0.332
Sc 0.800 0.585 0.332
Sn 0.030 0.075 0.328
Ag 0.967 0.750 0.000
Sn 0.458 0.750 0.000
Ag 0.033 0.250 0.000
Sn 0.298 0.575 0.328
Sn 0.542 0.250 0.000
Sn 0.702 0.425 0.672

=====

! Sc6AgSn | Alexandria via LeMat-Bulk | PBE | relaxed; values from VASP
! * SG: C2/m, No. 12
! * crystal system: monoclinic
! * E_form: -25.4 meV per atom
&SYSTEM
  ibrav = 0, nat = 8, ntyp = 3
/
ATOMIC_SPECIES
Sc 44.96 Sc.upf
Sn 118.71 Sn.upf
Ag 107.87 Ag.upf
CELL_PARAMETERS angstrom
-6.186 0.454 0.897
1.280 -5.018 -3.529
-2.069 -5.202 2.940
ATOMIC_POSITIONS crystal
Sc 0.243 0.749 0.250
Sn 0.500 0.500 0.500
Ag 0.000 0.000 0.000
Sc 0.251 0.757 0.750
Sc 0.757 0.251 0.750
Sc 0.750 0.750 0.758
Sc 0.250 0.250 0.242
Sc 0.749 0.243 0.250

=====

! ScAg2Sn | Alexandria via LeMat-Bulk | PBE | relaxed; values from VASP
! * SG: P4/mmm, No. 123
! * crystal system: tetragonal
! * E_form: -212.5 meV per atom
&SYSTEM
  ibrav = 0, nat = 4, ntyp = 3
/
ATOMIC_SPECIES
Ag 107.87 Ag.upf
Sn 118.71 Sn.upf
Sc 44.96 Sc.upf
CELL_PARAMETERS angstrom
-0.678 0.525 -3.595
-3.632 -0.008 0.684
0.148 6.065 0.857
ATOMIC_POSITIONS crystal
Ag 0.000 0.000 0.765
Sn 0.500 0.500 0.500
Sc 0.500 0.500 0.000
Ag 0.000 0.000 0.235

=====

! ScAgSn | Alexandria via LeMat-Bulk | PBE | relaxed; values from VASP
! * SG: C2/m, No. 12
! * crystal system: monoclinic
! * E_form: -384.6 meV per atom
&SYSTEM
  ibrav = 0, nat = 6, ntyp = 3
/
ATOMIC_SPECIES
Sn 118.71 Sn.upf
Ag 107.87 Ag.upf
Sc 44.96 Sc.upf
CELL_PARAMETERS angstrom
6.451 0.034 -0.030
-1.135 4.949 0.027
0.008 1.967 3.979
ATOMIC_POSITIONS crystal
Sn 0.043 0.208 0.482
Ag 0.716 0.862 0.155
Sc 0.860 0.521 0.826
Sn 0.543 0.208 0.482
Sc 0.226 0.895 0.139
Ag 0.370 0.553 0.809

=====

! Sc8AgSn2 | Alexandria via LeMat-Bulk | PBE | relaxed; values from VASP
! * SG: C2/m, No. 12
! * crystal system: monoclinic
! * E_form: -273.8 meV per atom
&SYSTEM
  ibrav = 0, nat = 11, ntyp = 3
/
ATOMIC_SPECIES
Ag 107.87 Ag.upf
Sc 44.96 Sc.upf
Sn 118.71 Sn.upf
CELL_PARAMETERS angstrom
-4.067 -0.620 2.380
1.954 -5.698 1.854
4.885 5.974 5.158
ATOMIC_POSITIONS crystal
Ag 0.500 0.000 0.000
Sc 0.982 0.232 0.964
Sc 0.653 0.994 0.306
Sc 0.786 0.689 0.571
Sn 0.819 0.252 0.639
Sc 0.018 0.768 0.036
Sc 0.409 0.526 0.817
Sc 0.347 0.006 0.694
Sn 0.181 0.748 0.361
Sc 0.591 0.474 0.183
Sc 0.214 0.311 0.429